No. 1
Computed, not measured: a geometry-optimized LiPuFeSi structure at the PBE-GGA level of DFT.

Cell and atoms, written as CIF:
```
data_LiPuFeSi
_cell_length_a 6.252
_cell_length_b 6.252
_cell_length_c 6.252
_cell_angle_alpha 90.00
_cell_angle_beta 90.00
_cell_angle_gamma 90.00
_space_group_name_H-M_alt 'F -4 3 m'
_space_group_IT_number 216
_space_group_name_Hall 'F -4 2 3'
loop_
_atom_site_label
_atom_site_fract_x
_atom_site_fract_y
_atom_site_fract_z
Li1 0.000 0.000 0.000
Pu1 0.250 0.250 0.250
Fe1 0.000 0.000 0.500
Si1 0.250 0.250 0.750
```

Output
**ΔE_f (raw)**: -0.5 eV/f.u.


No. 2
Computed, not measured: a geometry-optimized Y4HgSeS2 structure at the PBE-GGA level of DFT.

Cell and atoms, written as CIF:
```
data_Y4HgSeS2
_cell_length_a 7.051
_cell_length_b 3.963
_cell_length_c 7.151
_cell_angle_alpha 90.00
_cell_angle_beta 108.35
_cell_angle_gamma 90.00
_space_group_name_H-M_alt 'P 1 2/m 1'
_space_group_IT_number 10
_space_group_name_Hall '-P 2y'
loop_
_atom_site_label
_atom_site_fract_x
_atom_site_fract_y
_atom_site_fract_z
Y1 0.238 0.000 0.229
Y2 0.254 0.500 0.768
Hg1 0.500 0.500 0.500
Se1 0.000 0.000 0.500
S1 0.000 0.500 0.000
S2 0.500 0.000 0.000
```

Output
**ΔE_f (raw)**: -12.2 eV/f.u.


No. 3
Computed, not measured: a geometry-optimized BeSiSe structure at the PBE-GGA level of DFT.

Cell and atoms, written as CIF:
```
data_BeSiSe
_cell_length_a 3.4397
_cell_length_b 3.4397
_cell_length_c 4.7100
_cell_angle_alpha 90.00
_cell_angle_beta 90.00
_cell_angle_gamma 120.00
_space_group_name_H-M_alt 'P 3 m 1'
_space_group_IT_number 156
_space_group_name_Hall 'P 3 -2"'
loop_
_atom_site_label
_atom_site_fract_x
_atom_site_fract_y
_atom_site_fract_z
Be1 0.0000 0.0000 0.0000
Si1 0.3333 0.6667 0.3137
Se1 0.6667 0.3333 0.7569
```

Output
**ΔE_f (raw)**: 0.6 eV/f.u.


No. 4
Computed, not measured: a geometry-optimized BeNb2Os4 structure at the PBE-GGA level of DFT.

Cell and atoms, written as CIF:
```
data_BeNb2Os4
_cell_length_a 4.109
_cell_length_b 4.109
_cell_length_c 13.093
_cell_angle_alpha 90.00
_cell_angle_beta 90.00
_cell_angle_gamma 90.00
_space_group_name_H-M_alt 'I 4/m m m'
_space_group_IT_number 139
_space_group_name_Hall '-I 4 2'
loop_
_atom_site_label
_atom_site_fract_x
_atom_site_fract_y
_atom_site_fract_z
Be1 0.000 0.000 0.000
Nb1 0.000 0.000 0.354
Os1 0.000 0.000 0.161
Os2 0.000 0.500 0.000
```

Output
**Energy relative to the elements**: 0.4944 eV/atom


No. 5
Computed, not measured: a geometry-optimized Hf2ZrBi structure at the PBE-GGA level of DFT.

Cell and atoms, written as CIF:
```
data_Hf2ZrBi
_cell_length_a 4.573
_cell_length_b 4.573
_cell_length_c 4.357
_cell_angle_alpha 90.00
_cell_angle_beta 90.00
_cell_angle_gamma 90.00
_space_group_name_H-M_alt 'P 4/m m m'
_space_group_IT_number 123
_space_group_name_Hall '-P 4 2'
loop_
_atom_site_label
_atom_site_fract_x
_atom_site_fract_y
_atom_site_fract_z
Hf1 0.000 0.500 0.000
Zr1 0.000 0.000 0.500
Bi1 0.500 0.500 0.500
```

Output
**Energy relative to the elements**: -0.0746 eV/atom


No. 6
Computed, not measured: a geometry-optimized Dy10HoTm4 structure at the PBE-GGA level of DFT.

Cell and atoms, written as CIF:
```
data_Dy10HoTm4
_cell_length_a 12.030
_cell_length_b 12.030
_cell_length_c 7.607
_cell_angle_alpha 90.00
_cell_angle_beta 90.00
_cell_angle_gamma 90.00
_space_group_name_H-M_alt 'I 4/m'
_space_group_IT_number 87
_space_group_name_Hall '-I 4'
loop_
_atom_site_label
_atom_site_fract_x
_atom_site_fract_y
_atom_site_fract_z
Dy1 0.000 0.500 0.250
Dy2 0.100 0.800 0.250
Ho1 0.000 0.000 0.000
Tm1 0.100 0.300 0.500
```

Output
**Energy relative to the elements**: 0.7182 eV/atom


No. 7
Computed, not measured: a geometry-optimized Fe2SiSb structure at the PBE-GGA level of DFT.

Cell and atoms, written as CIF:
```
data_Fe2SiSb
_cell_length_a 3.255
_cell_length_b 3.255
_cell_length_c 5.404
_cell_angle_alpha 90.00
_cell_angle_beta 90.00
_cell_angle_gamma 90.00
_space_group_name_H-M_alt 'P 4 m m'
_space_group_IT_number 99
_space_group_name_Hall 'P 4 -2'
loop_
_atom_site_label
_atom_site_fract_x
_atom_site_fract_y
_atom_site_fract_z
Fe1 0.000 0.000 0.000
Fe2 0.500 0.500 0.303
Si1 0.500 0.500 0.868
Sb1 0.000 0.000 0.515
```

Output
**ΔE_f (raw)**: 0.3 eV/f.u.


No. 8
Computed, not measured: a geometry-optimized CaIn4Ag structure at the PBE-GGA level of DFT.

Cell and atoms, written as CIF:
```
data_CaIn4Ag
_cell_length_a 8.624
_cell_length_b 8.624
_cell_length_c 8.624
_cell_angle_alpha 90.00
_cell_angle_beta 90.00
_cell_angle_gamma 90.00
_space_group_name_H-M_alt 'F -4 3 m'
_space_group_IT_number 216
_space_group_name_Hall 'F -4 2 3'
loop_
_atom_site_label
_atom_site_fract_x
_atom_site_fract_y
_atom_site_fract_z
Ca1 0.000 0.000 0.000
In1 0.125 0.125 0.625
Ag1 0.250 0.250 0.250
```

Output
**Energy relative to the elements**: -0.0158 eV/atom


No. 9
Computed, not measured: a geometry-optimized Sm2ErTm5Th structure at the PBE-GGA level of DFT.

Cell and atoms, written as CIF:
```
data_Sm2ErTm5Th
_cell_length_a 8.671
_cell_length_b 8.671
_cell_length_c 15.068
_cell_angle_alpha 90.00
_cell_angle_beta 90.00
_cell_angle_gamma 90.00
_space_group_name_H-M_alt 'I 4/m c m'
_space_group_IT_number 140
_space_group_name_Hall '-I 4 2c'
loop_
_atom_site_label
_atom_site_fract_x
_atom_site_fract_y
_atom_site_fract_z
Sm1 0.115 0.385 0.000
Er1 0.000 0.500 0.250
Tm1 0.000 0.000 0.000
Tm2 0.212 0.288 0.362
Th1 0.000 0.000 0.250
```

Output
**Energy relative to the elements**: 0.3024 eV/atom


No. 10
Computed, not measured: a geometry-optimized Ac7YCo3 structure at the PBE-GGA level of DFT.

Cell and atoms, written as CIF:
```
data_Ac7YCo3
_cell_length_a 8.2141
_cell_length_b 8.2141
_cell_length_c 6.7161
_cell_angle_alpha 90.00
_cell_angle_beta 90.00
_cell_angle_gamma 120.00
_space_group_name_H-M_alt 'P 3 m 1'
_space_group_IT_number 156
_space_group_name_Hall 'P 3 -2"'
loop_
_atom_site_label
_atom_site_fract_x
_atom_site_fract_y
_atom_site_fract_z
Ac1 0.0000 0.0000 0.0000
Ac2 0.0054 0.5027 0.9826
Ac3 0.3322 0.1661 0.4674
Y1 0.3333 0.6667 0.4410
Co1 0.1691 0.3381 0.2275
```

Output
**Energy relative to the elements**: -0.0257 eV/atom


No. 11
Computed, not measured: a geometry-optimized SrCdCl2 structure at the PBE-GGA level of DFT.

Cell and atoms, written as CIF:
```
data_SrCdCl2
_cell_length_a 7.617
_cell_length_b 7.617
_cell_length_c 7.617
_cell_angle_alpha 90.00
_cell_angle_beta 90.00
_cell_angle_gamma 90.00
_space_group_name_H-M_alt 'F -4 3 m'
_space_group_IT_number 216
_space_group_name_Hall 'F -4 2 3'
loop_
_atom_site_label
_atom_site_fract_x
_atom_site_fract_y
_atom_site_fract_z
Sr1 0.000 0.000 0.000
Cd1 0.250 0.250 0.750
Cl1 0.000 0.000 0.500
Cl2 0.250 0.250 0.250
```

Output
**ΔE_f (raw)**: -4.7 eV/f.u.


No. 12
Computed, not measured: a geometry-optimized Os2C structure at the PBE-GGA level of DFT.

Cell and atoms, written as CIF:
```
data_Os2C
_cell_length_a 2.7619
_cell_length_b 2.7619
_cell_length_c 5.4526
_cell_angle_alpha 90.00
_cell_angle_beta 90.00
_cell_angle_gamma 120.00
_space_group_name_H-M_alt 'P -6 m 2'
_space_group_IT_number 187
_space_group_name_Hall 'P -6 2'
loop_
_atom_site_label
_atom_site_fract_x
_atom_site_fract_y
_atom_site_fract_z
Os1 0.0000 0.0000 0.2364
C1 0.6667 0.3333 0.5000
```

Output
**Energy relative to the elements**: 0.7076 eV/atom


No. 13
Computed, not measured: a geometry-optimized ZrAlFe2 structure at the PBE-GGA level of DFT.

Cell and atoms, written as CIF:
```
data_ZrAlFe2
_cell_length_a 2.840
_cell_length_b 4.154
_cell_length_c 5.284
_cell_angle_alpha 90.00
_cell_angle_beta 104.66
_cell_angle_gamma 90.00
_space_group_name_H-M_alt 'P 1 m 1'
_space_group_IT_number 6
_space_group_name_Hall 'P -2y'
loop_
_atom_site_label
_atom_site_fract_x
_atom_site_fract_y
_atom_site_fract_z
Zr1 0.000 0.000 0.000
Al1 0.686 0.500 0.313
Fe1 0.329 0.500 0.739
Fe2 0.460 0.000 0.519
```

Output
**Energy relative to the elements**: -0.0989 eV/atom


No. 14
Computed, not measured: a geometry-optimized TmCd3Pb structure at the PBE-GGA level of DFT.

Cell and atoms, written as CIF:
```
data_TmCd3Pb
_cell_length_a 6.160
_cell_length_b 6.410
_cell_length_c 7.763
_cell_angle_alpha 74.18
_cell_angle_beta 74.25
_cell_angle_gamma 62.50
_space_group_name_H-M_alt 'P -1'
_space_group_IT_number 2
_space_group_name_Hall '-P 1'
loop_
_atom_site_label
_atom_site_fract_x
_atom_site_fract_y
_atom_site_fract_z
Tm1 0.170 0.169 0.377
Cd1 0.000 0.500 0.000
Cd2 0.199 0.696 0.243
Cd3 0.339 0.340 0.640
Cd4 0.500 0.000 0.000
Pb1 0.297 0.803 0.757
```

Output
**Energy relative to the elements**: -0.1285 eV/atom


No. 15
Computed, not measured: a geometry-optimized ErTl5Te4 structure at the PBE-GGA level of DFT.

Cell and atoms, written as CIF:
```
data_ErTl5Te4
_cell_length_a 20.136
_cell_length_b 4.599
_cell_length_c 8.987
_cell_angle_alpha 90.00
_cell_angle_beta 116.40
_cell_angle_gamma 90.00
_space_group_name_H-M_alt 'C 1 2/m 1'
_space_group_IT_number 12
_space_group_name_Hall '-C 2y'
loop_
_atom_site_label
_atom_site_fract_x
_atom_site_fract_y
_atom_site_fract_z
Er1 0.000 0.000 0.000
Tl1 0.000 0.000 0.500
Tl2 0.150 0.500 0.788
Tl3 0.205 0.500 0.327
Te1 0.037 0.500 0.259
Te2 0.161 0.000 0.048
```

Output
**ΔE_f (raw)**: -5.6 eV/f.u.


No. 16
Computed, not measured: a geometry-optimized Li2SBr structure at the PBE-GGA level of DFT.

Cell and atoms, written as CIF:
```
data_Li2SBr
_cell_length_a 6.616
_cell_length_b 6.616
_cell_length_c 6.616
_cell_angle_alpha 90.00
_cell_angle_beta 90.00
_cell_angle_gamma 90.00
_space_group_name_H-M_alt 'F m -3 m'
_space_group_IT_number 225
_space_group_name_Hall '-F 4 2 3'
loop_
_atom_site_label
_atom_site_fract_x
_atom_site_fract_y
_atom_site_fract_z
Li1 0.250 0.250 0.250
S1 0.000 0.000 0.000
Br1 0.000 0.000 0.500
```

Output
**ΔE_f (raw)**: -3.1 eV/f.u.


No. 17
Computed, not measured: a geometry-optimized MgSbH6Ir2 structure at the PBE-GGA level of DFT.

Cell and atoms, written as CIF:
```
data_MgSbH6Ir2
_cell_length_a 9.215
_cell_length_b 11.722
_cell_length_c 6.051
_cell_angle_alpha 90.00
_cell_angle_beta 126.02
_cell_angle_gamma 90.00
_space_group_name_H-M_alt 'C 1 2/c 1'
_space_group_IT_number 15
_space_group_name_Hall '-C 2yc'
loop_
_atom_site_label
_atom_site_fract_x
_atom_site_fract_y
_atom_site_fract_z
Mg1 0.000 0.040 0.250
Sb1 0.000 0.343 0.750
H1 0.023 0.180 0.480
H2 0.190 0.024 0.154
H3 0.245 0.186 0.369
Ir1 0.163 0.158 0.055
```

Output
**Raw total energy**: -4.426 eV per atom


No. 18
Computed, not measured: a geometry-optimized Mg2SiAg structure at the PBE-GGA level of DFT.

Cell and atoms, written as CIF:
```
data_Mg2SiAg
_cell_length_a 6.345
_cell_length_b 7.088
_cell_length_c 6.454
_cell_angle_alpha 90.00
_cell_angle_beta 90.00
_cell_angle_gamma 90.00
_space_group_name_H-M_alt 'I m m a'
_space_group_IT_number 74
_space_group_name_Hall '-I 2b 2'
loop_
_atom_site_label
_atom_site_fract_x
_atom_site_fract_y
_atom_site_fract_z
Mg1 0.250 0.031 0.250
Si1 0.000 0.250 0.534
Ag1 0.000 0.250 0.956
```

Output
**ΔE_f (raw)**: -0.3 eV/f.u.


No. 19
Computed, not measured: a geometry-optimized Pm2PrHg8 structure at the PBE-GGA level of DFT.

Cell and atoms, written as CIF:
```
data_Pm2PrHg8
_cell_length_a 16.260
_cell_length_b 5.073
_cell_length_c 7.351
_cell_angle_alpha 90.00
_cell_angle_beta 110.12
_cell_angle_gamma 90.00
_space_group_name_H-M_alt 'C 1 2/m 1'
_space_group_IT_number 12
_space_group_name_Hall '-C 2y'
loop_
_atom_site_label
_atom_site_fract_x
_atom_site_fract_y
_atom_site_fract_z
Pm1 0.209 0.000 0.152
Pr1 0.000 0.500 0.500
Hg1 0.023 0.000 0.227
Hg2 0.094 0.500 0.960
Hg3 0.152 0.000 0.676
Hg4 0.174 0.500 0.401
```

Output
**Energy relative to the elements**: -0.3563 eV/atom


No. 20
Computed, not measured: a geometry-optimized LiAl2Te structure at the PBE-GGA level of DFT.

Cell and atoms, written as CIF:
```
data_LiAl2Te
_cell_length_a 5.556
_cell_length_b 11.086
_cell_length_c 3.533
_cell_angle_alpha 90.00
_cell_angle_beta 129.19
_cell_angle_gamma 90.00
_space_group_name_H-M_alt 'C 1 2/m 1'
_space_group_IT_number 12
_space_group_name_Hall '-C 2y'
loop_
_atom_site_label
_atom_site_fract_x
_atom_site_fract_y
_atom_site_fract_z
Li1 0.000 0.000 0.000
Al1 0.250 0.250 0.000
Te1 0.000 0.500 0.000
```

Output
**ΔE_f (raw)**: -0.7 eV/f.u.


No. 21
Computed, not measured: a geometry-optimized CeScZn17 structure at the PBE-GGA level of DFT.

Cell and atoms, written as CIF:
```
data_CeScZn17
_cell_length_a 8.9501
_cell_length_b 8.9501
_cell_length_c 13.1446
_cell_angle_alpha 90.00
_cell_angle_beta 90.00
_cell_angle_gamma 120.00
_space_group_name_H-M_alt 'R 3 m'
_space_group_IT_number 160
_space_group_name_Hall 'R 3 -2"'
loop_
_atom_site_label
_atom_site_fract_x
_atom_site_fract_y
_atom_site_fract_z
Ce1 0.0000 0.0000 0.0000
Sc1 0.0000 0.0000 0.3309
Zn1 0.0000 0.0000 0.5601
Zn2 0.0000 0.0000 0.7606
Zn3 0.0022 0.5011 0.8146
Zn4 0.0370 0.3669 0.3307
Zn5 0.1701 0.3402 0.4993
Zn6 0.1754 0.3508 0.8454
```

Output
**Energy relative to the elements**: -0.1901 eV/atom


No. 22
Computed, not measured: a geometry-optimized CsBa3H structure at the PBE-GGA level of DFT.

Cell and atoms, written as CIF:
```
data_CsBa3H
_cell_length_a 6.359
_cell_length_b 6.359
_cell_length_c 6.359
_cell_angle_alpha 90.00
_cell_angle_beta 90.00
_cell_angle_gamma 90.00
_space_group_name_H-M_alt 'P m -3 m'
_space_group_IT_number 221
_space_group_name_Hall '-P 4 2 3'
loop_
_atom_site_label
_atom_site_fract_x
_atom_site_fract_y
_atom_site_fract_z
Cs1 0.000 0.000 0.000
Ba1 0.000 0.500 0.500
H1 0.500 0.500 0.500
```

Output
**Raw total energy**: -1.944 eV per atom


No. 23
Computed, not measured: a geometry-optimized NaLu2H structure at the PBE-GGA level of DFT.

Cell and atoms, written as CIF:
```
data_NaLu2H
_cell_length_a 3.4537
_cell_length_b 3.4537
_cell_length_c 28.2259
_cell_angle_alpha 90.00
_cell_angle_beta 90.00
_cell_angle_gamma 120.00
_space_group_name_H-M_alt 'R -3 m'
_space_group_IT_number 166
_space_group_name_Hall '-R 3 2"'
loop_
_atom_site_label
_atom_site_fract_x
_atom_site_fract_y
_atom_site_fract_z
Na1 0.0000 0.0000 0.0000
Lu1 0.0000 0.0000 0.1212
H1 0.0000 0.0000 0.5000
```

Output
**Raw total energy**: -3.426 eV per atom


No. 24
Computed, not measured: a geometry-optimized Pr2GaRh structure at the PBE-GGA level of DFT.

Cell and atoms, written as CIF:
```
data_Pr2GaRh
_cell_length_a 4.0031
_cell_length_b 4.0031
_cell_length_c 23.8277
_cell_angle_alpha 90.00
_cell_angle_beta 90.00
_cell_angle_gamma 120.00
_space_group_name_H-M_alt 'R -3 m'
_space_group_IT_number 166
_space_group_name_Hall '-R 3 2"'
loop_
_atom_site_label
_atom_site_fract_x
_atom_site_fract_y
_atom_site_fract_z
Pr1 0.0000 0.0000 0.2392
Ga1 0.0000 0.0000 0.0000
Rh1 0.0000 0.0000 0.5000
```

Output
**Energy relative to the elements**: -0.4557 eV/atom